Computed, not measured: a geometry-optimized Nb2InF structure at the PBE-GGA level of DFT.

total DFT energy (no corrections)	-6.02	eV/atom
spin magnetization	0.00	μB/f.u.
formation energy from raw total energies	65	kJ/mol of formula units

Cell lengths 4.9473, 4.9473, 14.3043 Å; angles 90.00, 90.00, 90.00 degrees
Space group I4_1/amd (No. 141, origin choice 2)
Inequivalent atoms, fractional coordinates:
Nb  0.0000  0.0000  0.0000 [8 per cell]
In  0.0000  0.2500  0.3750 [4 per cell]
F  0.0000  0.2500  0.8750 [4 per cell]